[1]
Computed, not measured: a relaxed structure of ScAlCl3 at the PBE level of DFT.

Computed properties:
Energy relative to the elements, uncorrected in eV per atom: -1.13
Energy relative to the lowest polymorph listed for this composition in meV/atom: 0.0

POSCAR file:
```
ScAlCl3
1.0
-1.448 -0.442 -4.849
4.861 0.151 -1.466
0.271 -5.058 0.380
Sc Al Cl
1 1 3
direct
0.000 0.000 0.000
0.500 0.500 0.500
0.000 0.500 0.000
0.000 0.000 0.500
0.500 0.000 0.000
```

[2]
Computed, not measured: a relaxed structure of MgMnRu2 at the PBE level of DFT.

Computed properties:
E_form in eV per formula unit: 0.87

POSCAR file:
```
MgMnRu2
1.0
4.364 0.000 0.000
2.182 3.780 0.000
2.182 1.260 3.563
Mg Mn Ru
1 1 2
direct
0.500 0.500 0.500
0.750 0.750 0.750
0.000 0.000 0.000
0.250 0.250 0.250
```

[3]
Computed, not measured: a relaxed structure of LiNbAu2 at the PBE level of DFT.

Computed properties:
E_form in eV per formula unit: -1.13

POSCAR file:
```
LiNbAu2
1.0
2.788 0.000 0.000
0.000 5.000 0.000
0.000 0.000 5.000
Nb Au Li
1 2 1
direct
0.500 0.500 0.500
0.000 0.000 0.500
0.000 0.500 0.000
0.500 0.000 0.000
```

[4]
Computed, not measured: a relaxed structure of ScAlSe2 at the PBE level of DFT.

Computed properties:
Energy relative to the elements, uncorrected in eV per atom: -0.75

POSCAR file:
```
ScAlSe2
1.0
-1.461 -2.461 -6.660
5.376 -4.824 0.603
-0.529 -6.226 -1.528
Sc Al Se
2 2 4
direct
0.000 0.000 0.000
0.750 0.250 0.500
0.500 0.500 0.000
0.250 0.750 0.500
0.652 0.125 0.250
0.098 0.625 0.250
0.375 0.348 0.750
0.875 0.902 0.750
```

no.,spin magnetization (μB/f.u.)
1,1.0
2,3.6
3,0.0
4,0.0